Computed, not measured: a geometry-optimized La2PdPb2 structure at the GGA-PBE level of DFT.

a = 7.8356 Å, b = 7.8356 Å, c = 5.2128 Å
α = 90.00°, β = 90.00°, γ = 90.00°
With the nearest neighbours (Å) after each atom.
Atoms (fractional coordinates):
La 0.3319 0.8319 0.0000  2 Pd 2.92
La 0.1681 0.3319 0.0000  2 Pd 2.92
La 0.8319 0.6681 0.0000  2 Pd 2.92
La 0.6681 0.1681 0.0000  2 Pd 2.92
Pb 0.6419 0.8581 0.5000  1 Pb 3.14, 2 La 3.35
Pb 0.3581 0.1419 0.5000  1 Pb 3.14, 2 La 3.35
Pb 0.8581 0.3581 0.5000  1 Pb 3.14, 2 La 3.35
Pb 0.1419 0.6419 0.5000  1 Pb 3.14, 2 La 3.35
Pd 0.0000 0.0000 0.0000  4 La 2.92
Pd 0.5000 0.5000 0.0000  4 La 2.92

* uncorrected energy: -4.850 eV per atom
* total magnetization: 0.0 μB/f.u.
* ΔE to the lowest computed polymorph: 0.195 eV/atom
* formation enthalpy at 0 K: -357 meV/atom
* calculated density: 8.3 Mg/m³
* Fermi-level density of states: 0.63 states/eV/atom

***

Computed, not measured: a geometry-optimized ZrCrHg structure at the GGA-PBE level of DFT.

a = 4.7233 Å, b = 4.7233 Å, c = 3.1207 Å
α = 90.00°, β = 90.00°, γ = 120.00°
With the nearest neighbours (Å) after each atom.
Atoms (fractional coordinates):
Cr 0.0000 0.0000 0.1677  3 Hg 2.73
Zr 0.3333 0.6667 0.6665  2 Zr 3.12, 6 Cr 3.14, 6 Hg 3.14
Hg 0.6667 0.3333 0.1658  3 Cr 2.73

* uncorrected energy: -5.896 eV per atom
* total magnetization: 3.8 μB/f.u.
* ΔE to the lowest computed polymorph: 0.095 eV/atom
* formation enthalpy at 0 K: 262 meV/atom
* calculated density: 9.5 Mg/m³
* Fermi-level density of states: 0.84 states/eV/atom

***

Computed, not measured: a geometry-optimized KAg2AsF8 structure at the GGA-PBE level of DFT.

a = 5.2324 Å, b = 5.2324 Å, c = 8.2039 Å
α = 90.00°, β = 90.00°, γ = 120.00°
With the nearest neighbours (Å) after each atom.
Atoms (fractional coordinates):
F 0.1581 0.3163 0.1274  1 As 1.77
F 0.6667 0.3333 0.5413  1 Ag 2.14
F 0.6837 0.8419 0.1274  1 As 1.77
F 0.3333 0.6667 0.4587  1 Ag 2.14
F 0.8419 0.1581 0.8726  1 As 1.77
F 0.3163 0.1581 0.8726  1 As 1.77
F 0.1581 0.8419 0.1274  1 As 1.77
F 0.8419 0.6837 0.8726  1 As 1.77
Ag 0.3333 0.6667 0.7199  1 F 2.14
Ag 0.6667 0.3333 0.2801  1 F 2.14
K 0.0000 0.0000 0.5000  12 F 3.04-3.38
As 0.0000 0.0000 0.0000  6 F 1.77

* uncorrected energy: -3.959 eV per atom
* raw formation energy: -1757 meV/atom
* total magnetization: 0.0 μB/f.u.
* calculated density: 4.1 Mg/m³

***

Computed, not measured: a geometry-optimized Rb3TlAg2F9 structure at the GGA-PBE level of DFT.

a = 6.4041 Å, b = 6.4041 Å, c = 7.9152 Å
α = 90.00°, β = 90.00°, γ = 120.00°
With the nearest neighbours (Å) after each atom.
Atoms (fractional coordinates):
F 0.8384 0.1616 0.6637  1 Tl 2.21, 1 Ag 2.34
F 0.3233 0.1616 0.6637  1 Tl 2.21, 1 Ag 2.34
F 0.6767 0.8384 0.3363  1 Tl 2.21, 1 Ag 2.34
F 0.5000 0.0000 0.0000  2 Ag 2.26
F 0.1616 0.3233 0.3363  1 Tl 2.21, 1 Ag 2.34
F 0.8384 0.6767 0.6637  1 Tl 2.21, 1 Ag 2.34
F 0.1616 0.8384 0.3363  1 Tl 2.21, 1 Ag 2.34
F 0.5000 0.5000 0.0000  2 Ag 2.26
F 0.0000 0.5000 0.0000  2 Ag 2.26
Rb 0.0000 0.0000 0.0000  12 F 3.20-3.21
Rb 0.3333 0.6667 0.6972  9 F 3.03-3.21
Rb 0.6667 0.3333 0.3028  9 F 3.03-3.21
Ag 0.6667 0.3333 0.8354  6 F 2.26-2.34
Ag 0.3333 0.6667 0.1646  6 F 2.26-2.34
Tl 0.0000 0.0000 0.5000  6 F 2.21

* uncorrected energy: -3.868 eV per atom
* raw formation energy: -2014 meV/atom
* total magnetization: 0.9 μB/f.u.
* calculated density: 5.0 Mg/m³
* Fermi-level density of states: 0.29 states/eV/atom

***

Computed, not measured: a geometry-optimized KLi2In structure at the GGA-PBE level of DFT.

a = 10.5856 Å, b = 10.5856 Å, c = 10.5856 Å
α = 19.89°, β = 19.89°, γ = 19.89°
With the nearest neighbours (Å) after each atom.
Atoms (fractional coordinates):
In 0.2500 0.2500 0.2500  6 Li 2.94
Li 0.5177 0.5177 0.5177  3 In 2.94
Li 0.9823 0.9823 0.9823  3 In 2.94
K 0.7500 0.7500 0.7500  6 K 3.66, 6 Li 3.79

* uncorrected energy: -1.851 eV per atom
* total magnetization: 0.0 μB/f.u.
* formation enthalpy at 0 K: 65 meV/atom
* calculated density: 2.3 Mg/m³
* Fermi-level density of states: 0.33 states/eV/atom

***

Computed, not measured: a geometry-optimized NaMgSnBi structure at the GGA-PBE level of DFT.

a = 3.8881 Å, b = 3.8881 Å, c = 7.2422 Å
α = 90.00°, β = 90.00°, γ = 90.04°
With the nearest neighbours (Å) after each atom.
Atoms (fractional coordinates):
Mg 0.6474 0.3526 0.4790  4 Sn 3.14-3.16, 4 Bi 3.19-3.21
Na 0.6458 0.3542 0.9662  4 Sn 3.40, 4 Bi 3.44-3.45, 2 Mg 3.53-3.71
Sn 0.1458 0.8542 0.6907  4 Mg 3.14-3.16, 1 Bi 3.17, 4 Na 3.40
Bi 0.1459 0.8541 0.2528  1 Sn 3.17, 4 Mg 3.19-3.21, 4 Na 3.44-3.45

* uncorrected energy: -2.874 eV per atom
* total magnetization: 0.0 μB/f.u.
* ΔE to the lowest computed polymorph: 0.000 eV/atom
* formation enthalpy at 0 K: -175 meV/atom
* calculated density: 5.7 Mg/m³
* Fermi-level density of states: 0.49 states/eV/atom